1.
MgSb2PtI | PBE-GGA | relaxed

Values from the calculation:
As for the space group: P4/mmm, No. 123. Its density of states at the Fermi level is 1.11 states/eV/atom. The total magnetization comes out at 0.92 μB per cell. The value obtained for the energy above the most stable polymorph in this dataset is 0 meV/atom. The calculation puts the raw formation energy at 297.2 meV per atom.

a b c (Å): 5.2728 5.2728 5.6617
angles (deg): 90.00 90.00 90.00
Fractional positions:
Mg: 0.0000 0.0000 0.0000
Sb: 0.0000 0.5000 0.5000
Sb: 0.5000 0.0000 0.5000
Pt: 0.5000 0.5000 0.5000
I: 0.5000 0.5000 0.0000

2.
Mg2ScPtI | PBE-GGA | relaxed

Values from the calculation:
As for the space group: P4/mmm, No. 123. Its density of states at the Fermi level is 0.61 states/eV/atom. The total magnetization comes out at 0.00 μB per cell. The calculation puts the raw formation energy at -467.7 meV per atom.

a b c (Å): 5.1629 5.1629 5.0601
angles (deg): 90.00 90.00 90.00
Fractional positions:
Mg: 0.0000 0.5000 0.0000
Mg: 0.5000 0.0000 0.0000
Sc: 0.0000 0.0000 0.5000
Pt: 0.0000 0.0000 0.0000
I: 0.5000 0.5000 0.5000

3.
MgTePtI2 | PBE-GGA | relaxed

Values from the calculation:
As for the space group: P4/mmm, No. 123. Its density of states at the Fermi level is 0.92 states/eV/atom. The total magnetization comes out at 0.00 μB per cell. The value obtained for the energy above the most stable polymorph in this dataset is 0 meV/atom. The calculation puts the raw formation energy at 85.9 meV per atom.

a b c (Å): 5.4859 5.4859 5.4004
angles (deg): 90.00 90.00 90.00
Fractional positions:
Mg: 0.0000 0.0000 0.0000
Te: 0.5000 0.5000 0.0000
Pt: 0.5000 0.5000 0.5000
I: 0.0000 0.5000 0.5000
I: 0.5000 0.0000 0.5000